# Tl2SnTeRh, optimized geometry, DFT GGA-PBE
data_Tl2SnTeRh
_chemical_formula_sum 'Tl2 Sn1 Te1 Rh1'
_cell_length_a 5.312
_cell_length_b 5.312
_cell_length_c 5.162
_cell_angle_alpha 90.00
_cell_angle_beta 90.00
_cell_angle_gamma 90.00
_space_group_name_H-M_alt 'P 4/m m m'
_space_group_IT_number 123
_space_group_name_Hall '-P 4 2'
loop_
_atom_site_label
_atom_site_fract_x
_atom_site_fract_y
_atom_site_fract_z
Tl1 0.000 0.500 0.000
Sn1 0.000 0.000 0.500
Te1 0.500 0.500 0.500
Rh1 0.000 0.000 0.000
# Calculated volume: 29.14 A^3/atom
# Raw formation energy: -0.1298 eV per atom